Crystalline Nd4Er4Tm at its relaxed geometry. Source: Alexandria via LeMat-Bulk, functional PBE.

Computed properties:
Relative energy among the computed polymorphs   0 meV/atom
D(E_F)   1.441 states/eV per atom
ΔE_f   0.187 eV per formula unit
Magnetic moment   0.000 μB/f.u.

Lattice parameters (Å, degrees): 8.0171 8.0171 8.0171 95.67 95.67 143.35
Positions (direct):
Nd1 0.1664 0.1664 0.3327
Nd2 0.1664 0.8336 0.0000
Nd3 0.8336 0.1664 0.0000
Nd4 0.8336 0.8336 0.6673
Er1 0.1650 0.5000 0.6650
Er2 0.5000 0.1650 0.6650
Er3 0.5000 0.8350 0.3350
Er4 0.8350 0.5000 0.3350
Tm1 0.5000 0.5000 0.0000